1.
Compound: Y2SnAu2
Source: the Open Quantum Materials Database
Functional: GGA-PBE
Structure: relaxed

Unit cell a=7.9236 b=7.9236 c=3.7950 alpha=90.00 beta=90.00 gamma=90.00
Closest atoms and distances in Å follow each position.
Space group P4/mbm (No. 127)
Asymmetric unit:
Y  0.1701  0.3299  0.0000  6 Au 2.96-3.04
Sn  0.0000  0.0000  0.5000  4 Au 3.12
Au  0.1274  0.6274  0.5000  1 Au 2.86, 6 Y 2.96-3.04, 2 Sn 3.12

Output
Total moment, μB/f.u.: 0.01
VASP energy, eV/atom: -5.55
Crystal system: tetragonal

=====

2.
Compound: YSn2Au
Source: the Open Quantum Materials Database
Functional: GGA-PBE
Structure: relaxed

Unit cell a=7.3334 b=7.3334 c=7.3334 alpha=90.00 beta=90.00 gamma=90.00
Closest atoms and distances in Å follow each position.
Space group F-43m (No. 216)
Asymmetric unit:
Y  0.0000  0.0000  0.0000  4 Sn 3.18, 4 Au 3.18
Sn  0.0000  0.0000  0.5000  4 Au 3.18, 4 Sn 3.18
Sn  0.2500  0.2500  0.7500  4 Sn 3.18, 4 Y 3.18
Au  0.2500  0.2500  0.2500  4 Sn 3.18, 4 Y 3.18

Output
Total moment, μB/f.u.: 0.00
VASP energy, eV/atom: -4.79
Crystal system: cubic

=====

3.
Compound: YSn2Au
Source: the Open Quantum Materials Database
Functional: GGA-PBE
Structure: relaxed

Unit cell a=7.3427 b=7.3427 c=7.3427 alpha=90.00 beta=90.00 gamma=90.00
Closest atoms and distances in Å follow each position.
Space group F-43m (No. 216)
Asymmetric unit:
Y  0.0000  0.0000  0.0000  4 Sn 3.18, 4 Au 3.18
Sn  0.0000  0.0000  0.5000  4 Sn 3.18, 4 Au 3.18
Sn  0.2500  0.2500  0.2500  4 Sn 3.18, 4 Y 3.18
Au  0.2500  0.2500  0.7500  4 Y 3.18, 4 Sn 3.18

Output
Total moment, μB/f.u.: 0.00
VASP energy, eV/atom: -4.79
Crystal system: cubic

=====

4.
Compound: Y2SnAu2
Source: the Open Quantum Materials Database
Functional: GGA-PBE
Structure: relaxed

Unit cell a=4.9969 b=4.9969 c=10.8903 alpha=90.00 beta=90.00 gamma=90.00
Closest atoms and distances in Å follow each position.
Space group I4/mmm (No. 139)
Asymmetric unit:
Y  0.0000  0.5000  0.2500  4 Au 2.87
Sn  0.0000  0.0000  0.0000  8 Y 3.70, 10 Au 3.77-4.13
Au  0.0000  0.0000  0.3795  1 Au 2.62, 4 Y 2.87

Output
Total moment, μB/f.u.: 0.00
VASP energy, eV/atom: -5.19
Crystal system: tetragonal

=====

5.
Compound: Y2SnAu2
Source: the Open Quantum Materials Database
Functional: GGA-PBE
Structure: relaxed

Unit cell a=7.9116 b=7.9116 c=7.5749 alpha=90.00 beta=90.00 gamma=90.00
Closest atoms and distances in Å follow each position.
Space group P4_2/mnm (No. 136)
Asymmetric unit:
Y  0.1625  0.1625  0.0000  6 Au 2.94-3.07
Y  0.1777  0.1777  0.5000  6 Au 2.97-3.02
Sn  0.0000  0.5000  0.2500  4 Au 3.12, 4 Y 3.47
Au  0.1277  0.8723  0.2664  1 Au 2.86, 6 Y 2.94-3.07, 2 Sn 3.12

Output
Total moment, μB/f.u.: 0.01
VASP energy, eV/atom: -5.55
Crystal system: tetragonal

=====

6.
Compound: ZnSnAu2
Source: the Open Quantum Materials Database
Functional: GGA-PBE
Structure: relaxed

Unit cell a=6.8032 b=6.8032 c=6.8032 alpha=90.00 beta=90.00 gamma=90.00
Closest atoms and distances in Å follow each position.
Space group F-43m (No. 216)
Asymmetric unit:
Zn  0.0000  0.0000  0.0000  4 Sn 2.95, 4 Au 2.95
Sn  0.2500  0.2500  0.7500  4 Zn 2.95, 4 Au 2.95
Au  0.0000  0.0000  0.5000  4 Sn 2.95, 4 Au 2.95
Au  0.2500  0.2500  0.2500  4 Zn 2.95, 4 Au 2.95

Output
VASP energy, eV/atom: -2.92
Crystal system: cubic

=====

7.
Compound: Zn2SnAu
Source: the Open Quantum Materials Database
Functional: GGA-PBE
Structure: relaxed

Unit cell a=6.7624 b=6.7624 c=6.7624 alpha=90.00 beta=90.00 gamma=90.00
Closest atoms and distances in Å follow each position.
Space group F-43m (No. 216)
Asymmetric unit:
Zn  0.0000  0.0000  0.0000  4 Au 2.93, 4 Zn 2.93
Zn  0.2500  0.2500  0.2500  4 Sn 2.93, 4 Zn 2.93
Sn  0.0000  0.0000  0.5000  4 Zn 2.93, 4 Au 2.93
Au  0.2500  0.2500  0.7500  4 Sn 2.93, 4 Zn 2.93

Output
VASP energy, eV/atom: -2.38
Crystal system: cubic

=====

8.
Compound: ZnSn2Au
Source: the Open Quantum Materials Database
Functional: GGA-PBE
Structure: relaxed

Unit cell a=7.1119 b=7.1119 c=7.1119 alpha=90.00 beta=90.00 gamma=90.00
Closest atoms and distances in Å follow each position.
Space group F-43m (No. 216)
Asymmetric unit:
Zn  0.0000  0.0000  0.0000  4 Au 3.08, 4 Sn 3.08
Sn  0.0000  0.0000  0.5000  4 Sn 3.08, 4 Au 3.08
Sn  0.2500  0.2500  0.7500  4 Sn 3.08, 4 Zn 3.08
Au  0.2500  0.2500  0.2500  4 Sn 3.08, 4 Zn 3.08

Output
VASP energy, eV/atom: -3.03
Crystal system: cubic